Material: CsTlCrO3
Method: DFT, GGA+U
State: relaxed

```
data_CsTlCrO3
_chemical_formula_sum 'Cs4 Tl4 Cr4 O12'
_symmetry_space_group_name_H-M 'C 1 2/c 1'
_symmetry_Int_Tables_number 15
_cell_length_a 7.205
_cell_length_b 13.824
_cell_length_c 5.398
_cell_angle_alpha 90.00
_cell_angle_beta 107.82
_cell_angle_gamma 90.00
loop_
_symmetry_equiv_pos_as_xyz
'x,y,z'
'-x,-y,-z'
'-x,y,-z+1/2'
'x,-y,z+1/2'
'x+1/2,y+1/2,z'
'-x+1/2,-y+1/2,-z'
'-x+1/2,y+1/2,-z+1/2'
'x+1/2,-y+1/2,z+1/2'
loop_
_atom_site_label
_atom_site_fract_x
_atom_site_fract_y
_atom_site_fract_z
Cs1 0.000 0.108 0.250
Tl1 0.000 0.306 0.750
Cr1 0.000 0.460 0.250
O1 0.000 0.331 0.250
O2 0.168 0.467 0.005
```

Output
**V**: 21.3 Å³/atom
**E**: -5.635 eV per atom